Here is a PBEsol-optimized structure of BeTe2Au from the Alexandria database. Energies are from SCAN. Values from VASP.

Quantum ESPRESSO input file:
```
&SYSTEM
  ibrav = 0, nat = 4, ntyp = 3
/
ATOMIC_SPECIES
Be 9.01 Be.upf
Te 127.60 Te.upf
Au 196.97 Au.upf
ATOMIC_POSITIONS angstrom
Be -0.872 3.408 1.348
Te 0.000 0.000 0.000
Te -1.979 1.471 2.857
Au -2.457 0.748 -0.809
CELL_PARAMETERS angstrom
-1.351 2.685 -2.318
-3.564 -1.189 0.700
-0.393 4.131 5.014
```

Output
Calculated density ... 8.1 g/cm3
Formation energy from raw total energies ... 0.35 eV/atom
DFT total energy ... -36.649 eV per atom
V ... 23.6 Å³/atom